Record 1
This record from Alexandria via LeMat-Bulk describes a relaxed structure of Tb7Ho12Tl. The functional is PBE.

Calculated values
- Fermi-level density of states: 1.525 states/eV per atom
- Formation energy from the elements: 0.177 eV/atom
- Uncorrected energy: -4.309 eV per atom

Cell: 8.619 8.619 8.619 Å, 87.13 87.13 87.13°
Fractional coordinates of all 20 atoms:
Tb: 0.607 0.924 0.853
Tb: 0.500 0.500 0.500
Ho: 0.137 0.751 0.258
Ho: 0.860 0.499 0.387
Ho: 0.742 0.863 0.249
Tl: 0.000 0.000 0.000
Ho: 0.140 0.501 0.613
Ho: 0.501 0.613 0.140
Ho: 0.387 0.860 0.499
Tb: 0.147 0.393 0.076
Tb: 0.393 0.076 0.147
Tb: 0.853 0.607 0.924
Ho: 0.249 0.742 0.863
Tb: 0.076 0.147 0.393
Tb: 0.924 0.853 0.607
Ho: 0.863 0.249 0.742
Ho: 0.258 0.137 0.751
Ho: 0.499 0.387 0.860
Ho: 0.751 0.258 0.137
Ho: 0.613 0.140 0.501

Record 2
This record from Alexandria via LeMat-Bulk describes a relaxed structure of TbHo4Tl. The functional is PBE.

Calculated values
- Fermi-level density of states: 1.117 states/eV per atom
- Polymorph energy (0 for the lowest one): 0 meV per atom
- Formation energy from the elements: -0.105 eV/atom
- Uncorrected energy: -4.323 eV per atom

Cell: 3.572 3.572 14.174 Å, 90.00 90.00 90.00°
Fractional coordinates of all 6 atoms:
Tl: 0.500 0.500 0.500
Ho: 0.500 0.500 0.176
Ho: 0.500 0.500 0.824
Ho: 0.000 0.000 0.350
Ho: 0.000 0.000 0.650
Tb: 0.000 0.000 0.000

Record 3
This record from Alexandria via LeMat-Bulk describes a relaxed structure of Tb3Ho2Tl6. The functional is PBE.

Calculated values
- Fermi-level density of states: 0.744 states/eV per atom
- Formation energy from the elements: -0.040 eV/atom
- Uncorrected energy: -3.426 eV per atom

Cell: 4.737 4.737 15.124 Å, 99.01 99.01 90.00°
Fractional coordinates of all 11 atoms:
Tl: 0.619 0.119 0.238
Tb: 0.000 0.000 0.000
Tb: 0.200 0.200 0.400
Tl: 0.881 0.381 0.762
Tl: 0.696 0.696 0.392
Ho: 0.447 0.447 0.893
Ho: 0.553 0.553 0.107
Tb: 0.800 0.800 0.600
Tl: 0.381 0.881 0.762
Tl: 0.304 0.304 0.608
Tl: 0.119 0.619 0.238

Record 4
This record from Alexandria via LeMat-Bulk describes a relaxed structure of Tb12Ho3Tl. The functional is PBE.

Calculated values
- Fermi-level density of states: 1.282 states/eV per atom
- Formation energy from the elements: -0.028 eV/atom
- Uncorrected energy: -4.507 eV per atom

Cell: 4.964 4.964 20.175 Å, 90.00 90.00 90.00°
Fractional coordinates of all 16 atoms:
Ho: 0.000 0.000 0.500
Tb: 0.000 0.500 0.374
Tb: 0.000 0.500 0.122
Tl: 0.000 0.000 0.000
Tb: 0.500 0.500 0.246
Tb: 0.500 0.000 0.626
Tb: 0.500 0.500 0.000
Ho: 0.000 0.000 0.751
Tb: 0.500 0.000 0.374
Tb: 0.500 0.000 0.878
Tb: 0.000 0.500 0.878
Ho: 0.000 0.000 0.249
Tb: 0.500 0.500 0.500
Tb: 0.500 0.500 0.754
Tb: 0.000 0.500 0.626
Tb: 0.500 0.000 0.122

Record 5
This record from Alexandria via LeMat-Bulk describes a relaxed structure of Tb2Ho2Tl. The functional is PBE.

Calculated values
- Fermi-level density of states: 1.107 states/eV per atom
- Polymorph energy (0 for the lowest one): 0 meV per atom
- Formation energy from the elements: -0.047 eV/atom
- Uncorrected energy: -4.203 eV per atom

Cell: 8.377 6.350 8.854 Å, 70.16 59.03 48.73°
Fractional coordinates of all 10 atoms:
Ho: 0.731 0.000 0.428
Tl: 0.166 0.667 0.000
Ho: 0.394 0.000 0.883
Tb: 0.332 0.631 0.283
Tb: 0.963 0.369 0.283
Tl: 0.834 0.333 0.000
Ho: 0.269 0.000 0.572
Ho: 0.606 0.000 0.117
Tb: 0.668 0.369 0.717
Tb: 0.037 0.631 0.717

Record 6
This record from Alexandria via LeMat-Bulk describes a relaxed structure of Tb3Ho3Tl. The functional is PBE.

Calculated values
- Fermi-level density of states: 1.674 states/eV per atom
- Polymorph energy (0 for the lowest one): 97 meV per atom
- Formation energy from the elements: 0.031 eV/atom
- Uncorrected energy: -4.253 eV per atom

Cell: 5.187 13.246 12.743 Å, 90.00 90.00 90.00°
Fractional coordinates of all 28 atoms:
Tl: 0.750 0.444 0.316
Ho: 0.750 0.482 0.569
Ho: 0.250 0.518 0.431
Ho: 0.250 0.553 0.929
Ho: 0.750 0.224 0.446
Ho: 0.250 0.053 0.571
Tl: 0.250 0.056 0.816
Tl: 0.250 0.556 0.684
Ho: 0.750 0.724 0.054
Tb: 0.750 0.911 0.688
Ho: 0.250 0.018 0.069
Tb: 0.250 0.826 0.269
Tb: 0.750 0.174 0.731
Tb: 0.750 0.686 0.368
Tb: 0.250 0.314 0.632
Tb: 0.250 0.089 0.312
Tl: 0.750 0.944 0.184
Tb: 0.750 0.674 0.769
Ho: 0.250 0.276 0.946
Ho: 0.750 0.447 0.071
Ho: 0.750 0.947 0.429
Ho: 0.250 0.776 0.554
Tb: 0.250 0.814 0.868
Tb: 0.250 0.326 0.231
Tb: 0.750 0.411 0.812
Tb: 0.250 0.589 0.188
Ho: 0.750 0.982 0.931
Tb: 0.750 0.186 0.132

Record 7
This record from Alexandria via LeMat-Bulk describes a relaxed structure of Tb2Ho3Tl2. The functional is PBE.

Calculated values
- Fermi-level density of states: 0.836 states/eV per atom
- Formation energy from the elements: -0.200 eV/atom
- Uncorrected energy: -4.161 eV per atom

Cell: 5.396 5.390 8.629 Å, 108.27 90.00 120.04°
Fractional coordinates of all 7 atoms:
Ho: 0.654 0.308 0.461
Tl: 0.216 0.433 0.150
Ho: 0.500 0.000 0.000
Tl: 0.784 0.567 0.850
Tb: 0.075 0.150 0.724
Ho: 0.346 0.692 0.539
Tb: 0.925 0.850 0.276

Record 8
This record from Alexandria via LeMat-Bulk describes a relaxed structure of Tb2HoTl. The functional is PBE.

Calculated values
- Fermi-level density of states: 1.363 states/eV per atom
- Polymorph energy (0 for the lowest one): 146 meV per atom
- Formation energy from the elements: -0.036 eV/atom
- Uncorrected energy: -4.087 eV per atom

Cell: 5.473 5.473 5.473 Å, 60.00 60.00 60.00°
Fractional coordinates of all 4 atoms:
Ho: 0.000 0.000 0.000
Tb: 0.250 0.250 0.250
Tl: 0.500 0.500 0.500
Tb: 0.750 0.750 0.750

Record 9
This record from Alexandria via LeMat-Bulk describes a relaxed structure of Tb3Ho2Tl3. The functional is PBE.

Calculated values
- Fermi-level density of states: 0.909 states/eV per atom
- Formation energy from the elements: -0.272 eV/atom
- Uncorrected energy: -4.040 eV per atom

Cell: 3.769 5.381 11.772 Å, 103.21 99.21 90.00°
Fractional coordinates of all 8 atoms:
Ho: 0.265 0.765 0.530
Tl: 0.880 0.880 0.760
Tb: 0.500 0.000 0.000
Ho: 0.735 0.235 0.470
Tl: 0.000 0.500 0.000
Tb: 0.626 0.626 0.252
Tl: 0.120 0.120 0.240
Tb: 0.374 0.374 0.748

Record 10
This record from Alexandria via LeMat-Bulk describes a relaxed structure of Tb3Ho2Tl. The functional is PBE.

Calculated values
- Fermi-level density of states: 1.345 states/eV per atom
- Polymorph energy (0 for the lowest one): 51 meV per atom
- Formation energy from the elements: -0.059 eV/atom
- Uncorrected energy: -4.295 eV per atom

Cell: 6.157 6.999 9.189 Å, 90.00 109.57 90.00°
Fractional coordinates of all 12 atoms:
Ho: 0.328 0.750 0.626
Tl: 0.808 0.750 0.000
Tl: 0.192 0.250 0.000
Ho: 0.672 0.250 0.374
Tb: 0.676 0.250 0.000
Ho: 0.702 0.750 0.374
Ho: 0.298 0.250 0.626
Tb: 0.861 0.500 0.722
Tb: 0.139 0.000 0.278
Tb: 0.324 0.750 0.000
Tb: 0.139 0.500 0.278
Tb: 0.861 0.000 0.722

Record 11
This record from Alexandria via LeMat-Bulk describes a relaxed structure of TbHo6Tl6. The functional is PBE.

Calculated values
- Fermi-level density of states: 0.926 states/eV per atom
- Formation energy from the elements: -0.168 eV/atom
- Uncorrected energy: -3.729 eV per atom

Cell: 6.412 6.412 10.509 Å, 90.00 90.00 120.00°
Fractional coordinates of all 13 atoms:
Ho: 0.333 0.667 0.000
Tl: 0.500 0.000 0.754
Tl: 0.000 0.500 0.754
Ho: 0.667 0.333 0.500
Tl: 0.500 0.500 0.754
Tb: 0.000 0.000 0.000
Ho: 0.667 0.333 0.000
Tl: 0.500 0.000 0.246
Ho: 0.000 0.000 0.337
Tl: 0.500 0.500 0.246
Ho: 0.333 0.667 0.500
Ho: 0.000 0.000 0.663
Tl: 0.000 0.500 0.246

Record 12
This record from Alexandria via LeMat-Bulk describes a relaxed structure of Tb8HoTl6. The functional is PBE.

Calculated values
- Fermi-level density of states: 1.411 states/eV per atom
- Formation energy from the elements: -0.139 eV/atom
- Uncorrected energy: -3.860 eV per atom

Cell: 9.132 9.132 8.380 Å, 56.98 56.98 60.00°
Fractional coordinates of all 15 atoms:
Tl: 0.731 0.395 0.810
Tb: 0.557 0.224 0.327
Tb: 0.666 0.666 0.001
Tb: 0.776 0.109 0.673
Tb: 0.891 0.557 0.327
Tl: 0.605 0.937 0.190
Tl: 0.063 0.731 0.810
Tb: 0.109 0.443 0.673
Tb: 0.224 0.891 0.327
Tb: 0.443 0.776 0.673
Tl: 0.937 0.269 0.190
Tl: 0.395 0.063 0.810
Ho: 0.000 0.000 0.000
Tb: 0.334 0.334 0.999
Tl: 0.269 0.605 0.190